1.
The following is a DFT calculation (PBE) of a relaxed structure of V4PdPt.

**Energy of formation**: -0.20 eV/atom
**Crystal system**: cubic

Cell: 6.9294 6.9294 6.9294 Å, 90.00 90.00 90.00°
Closest atoms and distances in Å follow each position.
Space group F-43m (No. 216)
One atom of each set of equivalent atoms:
V (0.1250, 0.1250, 0.1250) (multiplicity 16)  6 V 2.45
Pd (0.0000, 0.0000, 0.5000) (multiplicity 4)  12 V 2.87, 4 Pt 3.00
Pt (0.2500, 0.2500, 0.7500) (multiplicity 4)  12 V 2.87, 4 Pd 3.00


2.
The following is a DFT calculation (PBE) of a relaxed structure of V2Pd6Pt3.

**Energy of formation**: -0.03 eV/atom
**Crystal system**: triclinic

Cell: 4.7162 4.7177 17.7413 Å, 89.94 89.91 61.48°
Closest atoms and distances in Å follow each position.
Space group P-1 (No. 2)
One atom of each set of equivalent atoms:
V (0.2484, 0.2481, 0.0002) (multiplicity 2)  2 V 2.41, 4 Pd 2.53-2.54
V (0.2502, 0.2507, 0.5000) (multiplicity 2)  2 V 2.41, 4 Pd 2.53-2.54
Pd (0.0845, 0.5855, 0.1193) (multiplicity 2)  2 V 2.53, 4 Pd 2.67-2.81, 2 Pt 2.78-2.79
Pd (0.0845, 0.5860, 0.3806) (multiplicity 2)  2 V 2.53, 4 Pd 2.67-2.81, 2 Pt 2.77-2.79
Pd (0.2509, 0.7494, 0.5785) (multiplicity 2)  4 V 2.73-2.75, 6 Pd 2.81-2.85
Pd (0.2516, 0.7489, 0.9209) (multiplicity 2)  4 V 2.73-2.75, 6 Pd 2.81-2.85
Pd (0.4145, 0.9146, 0.1195) (multiplicity 2)  2 V 2.53-2.54, 4 Pd 2.67-2.81, 2 Pt 2.77-2.79
Pd (0.4143, 0.9152, 0.3806) (multiplicity 2)  2 V 2.53-2.54, 4 Pd 2.67-2.81, 2 Pt 2.77-2.79
Pt (0.0972, 0.9035, 0.2500) (multiplicity 2)  6 Pt 2.70-2.80, 4 Pd 2.77-2.78
Pt (0.2282, 0.4441, 0.7499) (multiplicity 2)  6 Pt 2.65-2.80, 4 Pd 2.79-2.89
Pt (0.4448, 0.2293, 0.2500) (multiplicity 2)  6 Pt 2.65-2.80, 4 Pd 2.79-2.89


3.
The following is a DFT calculation (PBE) of a relaxed structure of V2Pd8Pt.

**Energy of formation**: -0.19 eV/atom
**Crystal system**: monoclinic

Cell: 14.0038 3.9446 6.2236 Å, 90.00 106.17 90.00°
Closest atoms and distances in Å follow each position.
Space group C2/m (No. 12)
One atom of each set of equivalent atoms:
V (0.2239, 0.0000, 0.1459) (multiplicity 4)  10 Pd 2.66-2.74, 2 V 2.91
Pd (0.0479, 0.0000, 0.2292) (multiplicity 4)  1 V 2.66, 9 Pd 2.75-2.89, 2 Pt 2.79
Pd (0.0993, 0.5000, 0.9583) (multiplicity 4)  3 V 2.68-2.73, 8 Pd 2.72-2.97, 1 Pt 2.80
Pd (0.1450, 0.0000, 0.7035) (multiplicity 4)  3 V 2.67-2.68, 7 Pd 2.71-2.89, 2 Pt 2.86
Pd (0.1823, 0.5000, 0.4124) (multiplicity 4)  3 V 2.70-2.74, 8 Pd 2.71-2.82, 1 Pt 2.76
Pt (0.0000, 0.5000, 0.5000) (multiplicity 2)  12 Pd 2.76-2.86


4.
The following is a DFT calculation (PBE) of a relaxed structure of V3Pd6Pt.

**Energy of formation**: -0.11 eV/atom
**Crystal system**: orthorhombic

Cell: 8.2540 15.3752 4.8513 Å, 90.00 90.00 90.00°
Closest atoms and distances in Å follow each position.
Space group Cmc2_1 (No. 36)
One atom of each set of equivalent atoms:
V (0.0000, 0.1091, 0.0000) (multiplicity 4)  1 Pt 2.53, 8 Pd 2.54-2.79
V (0.1545, 0.3911, 0.7467) (multiplicity 8)  3 Pd 2.43-2.70, 1 Pt 2.48, 1 V 2.55
Pd (0.0000, 0.1809, 0.4720) (multiplicity 4)  2 V 2.54-2.79, 4 Pd 2.76-2.81, 2 Pt 2.79-2.84
Pd (0.0000, 0.4515, 0.2660) (multiplicity 4)  6 V 2.74-2.97, 6 Pd 2.83-2.91
Pd (0.1695, 0.0329, 0.6156) (multiplicity 8)  4 V 2.58-2.70, 6 Pd 2.63-2.83
Pd (0.2286, 0.3095, 0.3368) (multiplicity 8)  2 V 2.43-2.69, 2 Pt 2.63-2.67
Pt (0.0000, 0.2734, 0.9778) (multiplicity 4)  3 V 2.48-2.53, 4 Pd 2.63-2.67


Q: Which formula does entry 3 have?
A: V2Pd8Pt


What did the first record say?
The following is a DFT calculation (PBE) of a relaxed structure of V4PdPt.

**Energy of formation**: -0.20 eV/atom
**Crystal system**: cubic

Cell: 6.9294 6.9294 6.9294 Å, 90.00 90.00 90.00°
Closest atoms and distances in Å follow each position.
Space group F-43m (No. 216)
One atom of each set of equivalent atoms:
V (0.1250, 0.1250, 0.1250) (multiplicity 16)  6 V 2.45
Pd (0.0000, 0.0000, 0.5000) (multiplicity 4)  12 V 2.87, 4 Pt 3.00
Pt (0.2500, 0.2500, 0.7500) (multiplicity 4)  12 V 2.87, 4 Pd 3.00


Q: Which formula does entry 2 have?
A: V2Pd6Pt3


Repeat the second record exactly.
The following is a DFT calculation (PBE) of a relaxed structure of V2Pd6Pt3.

**Energy of formation**: -0.03 eV/atom
**Crystal system**: triclinic

Cell: 4.7162 4.7177 17.7413 Å, 89.94 89.91 61.48°
Closest atoms and distances in Å follow each position.
Space group P-1 (No. 2)
One atom of each set of equivalent atoms:
V (0.2484, 0.2481, 0.0002) (multiplicity 2)  2 V 2.41, 4 Pd 2.53-2.54
V (0.2502, 0.2507, 0.5000) (multiplicity 2)  2 V 2.41, 4 Pd 2.53-2.54
Pd (0.0845, 0.5855, 0.1193) (multiplicity 2)  2 V 2.53, 4 Pd 2.67-2.81, 2 Pt 2.78-2.79
Pd (0.0845, 0.5860, 0.3806) (multiplicity 2)  2 V 2.53, 4 Pd 2.67-2.81, 2 Pt 2.77-2.79
Pd (0.2509, 0.7494, 0.5785) (multiplicity 2)  4 V 2.73-2.75, 6 Pd 2.81-2.85
Pd (0.2516, 0.7489, 0.9209) (multiplicity 2)  4 V 2.73-2.75, 6 Pd 2.81-2.85
Pd (0.4145, 0.9146, 0.1195) (multiplicity 2)  2 V 2.53-2.54, 4 Pd 2.67-2.81, 2 Pt 2.77-2.79
Pd (0.4143, 0.9152, 0.3806) (multiplicity 2)  2 V 2.53-2.54, 4 Pd 2.67-2.81, 2 Pt 2.77-2.79
Pt (0.0972, 0.9035, 0.2500) (multiplicity 2)  6 Pt 2.70-2.80, 4 Pd 2.77-2.78
Pt (0.2282, 0.4441, 0.7499) (multiplicity 2)  6 Pt 2.65-2.80, 4 Pd 2.79-2.89
Pt (0.4448, 0.2293, 0.2500) (multiplicity 2)  6 Pt 2.65-2.80, 4 Pd 2.79-2.89